Record 1
Material: ScTc2Mo
Method: DFT, PBE
State: optimized geometry

Lattice parameters (Å, degrees): 2.8654 2.8654 27.5771 90.00 90.00 120.00
Space group R3m (No. 160, hexagonal axes)
One atom of each set of equivalent atoms:
Sc (0.0000, 0.0000, 0.0000) [3 per cell]
Tc (0.0000, 0.0000, 0.4961) [3 per cell]
Tc (0.0000, 0.0000, 0.7531) [3 per cell]
Mo (0.0000, 0.0000, 0.2440) [3 per cell]

M_tot (μB per cell): 0.0
Crystal system: trigonal
D(E_F) (states/eV per cell): 10.1
Energy of formation (eV per atom): 0.2120
Energy relative to the lowest polymorph listed for this composition (eV per atom): 0.390

***

Record 2
Material: Sc2Tc2Mo
Method: DFT, PBE
State: optimized geometry

Lattice parameters (Å, degrees): 3.778 3.778 12.770 90.00 90.00 90.00
Space group I4/mmm (No. 139)
One atom of each set of equivalent atoms:
Sc (0.000, 0.500, 0.250) [4 per cell]
Tc (0.000, 0.000, 0.093) [4 per cell]
Mo (0.000, 0.000, 0.500) [2 per cell]

M_tot (μB per cell): 0.0
Crystal system: tetragonal
D(E_F) (states/eV per cell): 10.9
Energy of formation (eV per atom): 0.8204
Energy relative to the lowest polymorph listed for this composition (eV per atom): 0.853

***

Record 3
Material: ScTc2Mo
Method: DFT, PBE
State: optimized geometry

Lattice parameters (Å, degrees): 3.163 4.446 9.080 90.00 90.00 90.00
Space group Imm2 (No. 44)
One atom of each set of equivalent atoms:
Sc (0.000, 0.000, 0.000) [2 per cell]
Tc (0.000, 0.000, 0.500) [2 per cell]
Tc (0.000, 0.500, 0.757) [2 per cell]
Mo (0.000, 0.500, 0.238) [2 per cell]

M_tot (μB per cell): 0.0
Crystal system: orthorhombic
D(E_F) (states/eV per cell): 6.1
Energy of formation (eV per atom): -0.1228
Energy relative to the lowest polymorph listed for this composition (eV per atom): 0.055

***

Record 4
Material: ScTcMo
Method: DFT, PBE
State: optimized geometry

Lattice parameters (Å, degrees): 5.314 5.346 7.459 90.00 90.00 90.00
Space group Imma (No. 74)
One atom of each set of equivalent atoms:
Sc (0.000, 0.250, 0.127) [4 per cell]
Tc (0.000, 0.000, 0.500) [4 per cell]
Mo (0.250, 0.250, 0.750) [4 per cell]

M_tot (μB per cell): 0.0
Crystal system: orthorhombic
D(E_F) (states/eV per cell): 9.6
Energy of formation (eV per atom): -0.1770
Energy relative to the lowest polymorph listed for this composition (eV per atom): 0.000

***

Record 5
Material: ScTc2Mo
Method: DFT, PBE
State: optimized geometry

Lattice parameters (Å, degrees): 3.145 3.145 6.545 90.00 90.00 90.00
Space group P4mm (No. 99)
One atom of each set of equivalent atoms:
Sc (0.000, 0.000, 0.000) [1 per cell]
Tc (0.000, 0.000, 0.496) [1 per cell]
Tc (0.500, 0.500, 0.264) [1 per cell]
Mo (0.500, 0.500, 0.725) [1 per cell]

M_tot (μB per cell): 0.0
Crystal system: tetragonal
D(E_F) (states/eV per cell): 3.7
Energy of formation (eV per atom): 0.0135
Energy relative to the lowest polymorph listed for this composition (eV per atom): 0.191

***

Record 6
Material: ScTcMo
Method: DFT, PBE
State: optimized geometry

Lattice parameters (Å, degrees): 4.4535 4.4535 2.9116 90.00 90.00 120.00
Space group P3m1 (No. 156)
One atom of each set of equivalent atoms:
Sc (0.0000, 0.0000, 0.0000) [1 per cell]
Tc (0.3333, 0.6667, 0.3581) [1 per cell]
Mo (0.6667, 0.3333, 0.6218) [1 per cell]

M_tot (μB per cell): 0.0
Crystal system: trigonal
D(E_F) (states/eV per cell): 2.5
Energy of formation (eV per atom): -0.0446
Energy relative to the lowest polymorph listed for this composition (eV per atom): 0.132

***

Record 7
Material: ScTc2Mo
Method: DFT, PBE
State: optimized geometry

Lattice parameters (Å, degrees): 3.162 4.640 8.739 90.00 90.00 90.00
Space group Immm (No. 71)
One atom of each set of equivalent atoms:
Sc (0.000, 0.000, 0.000) [2 per cell]
Tc (0.000, 0.500, 0.238) [4 per cell]
Mo (0.000, 0.000, 0.500) [2 per cell]

M_tot (μB per cell): 0.0
Crystal system: orthorhombic
D(E_F) (states/eV per cell): 6.7
Energy of formation (eV per atom): -0.0541
Energy relative to the lowest polymorph listed for this composition (eV per atom): 0.124

***

Record 8
Material: ScTc2Mo
Method: DFT, PBE
State: optimized geometry

Lattice parameters (Å, degrees): 2.9462 2.9462 26.0392 90.00 90.00 120.00
Space group R-3m (No. 166, hexagonal axes)
One atom of each set of equivalent atoms:
Sc (0.0000, 0.0000, 0.0000) [3 per cell]
Tc (0.0000, 0.0000, 0.2462) [6 per cell]
Mo (0.0000, 0.0000, 0.5000) [3 per cell]

M_tot (μB per cell): 0.0
Crystal system: trigonal
D(E_F) (states/eV per cell): 12.9
Energy of formation (eV per atom): 0.1483
Energy relative to the lowest polymorph listed for this composition (eV per atom): 0.326

***

Record 9
Material: ScTc2Mo
Method: DFT, PBE
State: optimized geometry

Lattice parameters (Å, degrees): 6.320 6.320 6.320 90.00 90.00 90.00
Space group F-43m (No. 216)
One atom of each set of equivalent atoms:
Sc (0.000, 0.000, 0.000) [4 per cell]
Tc (0.000, 0.000, 0.500) [4 per cell]
Tc (0.250, 0.250, 0.750) [4 per cell]
Mo (0.250, 0.250, 0.250) [4 per cell]

M_tot (μB per cell): 0.0
Crystal system: cubic
D(E_F) (states/eV per cell): 9.2
Energy of formation (eV per atom): -0.0378
Energy relative to the lowest polymorph listed for this composition (eV per atom): 0.140

***

Record 10
Material: Sc2Tc2Mo
Method: DFT, PBE
State: optimized geometry

Lattice parameters (Å, degrees): 6.429 6.429 4.520 90.00 90.00 90.00
Space group P4/mbm (No. 127)
One atom of each set of equivalent atoms:
Sc (0.176, 0.324, 0.000) [4 per cell]
Tc (0.133, 0.633, 0.500) [4 per cell]
Mo (0.000, 0.000, 0.500) [2 per cell]

M_tot (μB per cell): 0.0
Crystal system: tetragonal
D(E_F) (states/eV per cell): 12.7
Energy of formation (eV per atom): -0.0324
Energy relative to the lowest polymorph listed for this composition (eV per atom): 0.000

***

Record 11
Material: ScTc2Mo
Method: DFT, PBE
State: optimized geometry

Lattice parameters (Å, degrees): 3.183 4.545 8.945 90.00 90.00 90.00
Space group Cmm2 (No. 35)
One atom of each set of equivalent atoms:
Sc (0.000, 0.000, 0.000) [2 per cell]
Tc (0.000, 0.000, 0.486) [2 per cell]
Tc (0.000, 0.500, 0.253) [2 per cell]
Mo (0.000, 0.500, 0.726) [2 per cell]

M_tot (μB per cell): 0.0
Crystal system: orthorhombic
D(E_F) (states/eV per cell): 9.1
Energy of formation (eV per atom): 0.1358
Energy relative to the lowest polymorph listed for this composition (eV per atom): 0.314

***

Record 12
Material: ScTcMo
Method: DFT, PBE
State: optimized geometry

Lattice parameters (Å, degrees): 9.784 4.446 5.607 90.00 124.43 90.00
Space group Cm (No. 8)
One atom of each set of equivalent atoms:
Sc (0.000, 0.000, 0.000) [2 per cell]
Sc (0.157, 0.500, 0.836) [2 per cell]
Tc (0.314, 0.000, 0.650) [2 per cell]
Tc (0.487, 0.500, 0.484) [2 per cell]
Mo (0.177, 0.500, 0.361) [2 per cell]
Mo (0.353, 0.000, 0.199) [2 per cell]

M_tot (μB per cell): 0.0
Crystal system: monoclinic
D(E_F) (states/eV per cell): 12.3
Energy of formation (eV per atom): -0.0895
Energy relative to the lowest polymorph listed for this composition (eV per atom): 0.088

***

Record 13
Material: ScTc2Mo
Method: DFT, PBE
State: optimized geometry

Lattice parameters (Å, degrees): 2.827 4.454 5.176 90.00 101.76 90.00
Space group Pm (No. 6)
One atom of each set of equivalent atoms:
Sc (0.000, 0.000, 0.000) [1 per cell]
Tc (0.490, 0.000, 0.498) [1 per cell]
Tc (0.745, 0.500, 0.242) [1 per cell]
Mo (0.276, 0.500, 0.741) [1 per cell]

M_tot (μB per cell): 0.0
Crystal system: monoclinic
D(E_F) (states/eV per cell): 2.5
Energy of formation (eV per atom): -0.0381
Energy relative to the lowest polymorph listed for this composition (eV per atom): 0.140

***

Record 14
Material: ScTc2Mo
Method: DFT, PBE
State: optimized geometry

Lattice parameters (Å, degrees): 7.150 7.150 5.489 90.00 90.00 90.00
Space group I-42d (No. 122)
One atom of each set of equivalent atoms:
Sc (0.000, 0.000, 0.000) [4 per cell]
Tc (0.221, 0.250, 0.625) [8 per cell]
Mo (0.000, 0.000, 0.500) [4 per cell]

M_tot (μB per cell): 0.0
Crystal system: tetragonal
D(E_F) (states/eV per cell): 16.1
Energy of formation (eV per atom): 0.4636
Energy relative to the lowest polymorph listed for this composition (eV per atom): 0.641